CrInTc2 PBE-GGA optimized geometry; SG = I4/mmm (139); calculated total energy = -31.588 eV per cell; energy of formation = 0.376 eV/atom
1.0
-3.9426 -2.3555 2.0699
0.6365 -1.4157 4.7924
0.6697 4.2636 -2.5981
Cr In Tc
1 1 2
Direct
0.2500 0.7500 0.5000
0.7500 0.2500 0.5000
0.0000 0.0000 0.0000
0.5000 0.5000 0.0000